Below is a relaxed structure of RbAc2Be2O6, with properties calculated at the PBE level.

Geometry as POSCAR:
```
RbAc2Be2O6
1.0
5.950 0.000 0.000
-2.152 5.901 0.000
-2.783 -2.064 5.766
Rb Ac Be O
1 2 2 6
direct
0.000 0.000 0.000 Rb
0.378 0.292 0.672 Ac
0.622 0.708 0.328 Ac
0.279 0.735 0.715 Be
0.721 0.265 0.285 Be
0.110 0.875 0.645 O
0.302 0.603 0.897 O
0.461 0.708 0.609 O
0.539 0.292 0.391 O
0.698 0.397 0.103 O
0.890 0.125 0.355 O
```

Properties
Size of the total moment (μB per cell): 1.1
Energy relative to the elements, uncorrected (eV per atom): -2.549
E_tot (eV/atom): -6.766

=====

Below is a relaxed structure of LaAgAsBr2, with properties calculated at the PBE level.

Geometry as POSCAR:
```
LaAgAsBr2
1.0
5.768 0.000 0.000
0.000 5.768 0.000
0.000 0.000 6.092
La Ag As Br
1 1 1 2
direct
0.000 0.000 0.000 La
0.500 0.500 0.500 Ag
0.000 0.000 0.500 As
0.000 0.500 0.000 Br
0.500 0.000 0.000 Br
```

Properties
Size of the total moment (μB per cell): 1.0
Energy relative to the elements, uncorrected (eV per atom): -0.456
E_tot (eV/atom): -3.611
E above lowest polymorph (eV per atom): 0.004

=====

Below is a relaxed structure of CaSiSbTe2, with properties calculated at the PBE level.

Geometry as POSCAR:
```
CaSiSbTe2
1.0
5.379 0.000 0.000
0.000 5.379 0.000
0.000 0.000 5.267
Ca Si Sb Te
1 1 1 2
direct
0.000 0.000 0.000 Ca
0.500 0.500 0.500 Si
0.500 0.500 0.000 Sb
0.000 0.500 0.500 Te
0.500 0.000 0.500 Te
```

Properties
Size of the total moment (μB per cell): 0.0
Energy relative to the elements, uncorrected (eV per atom): -0.094
E_tot (eV/atom): -3.660
E above lowest polymorph (eV per atom): 0.000